Entry 1:
Al3CdSe | PBE | relaxed Values from VASP.

## Properties
- formation energy (no corrections) (eV/atom) = 0.55

Geometry as Quantum ESPRESSO input:
```
&SYSTEM
  ibrav = 0, nat = 5, ntyp = 3
/
ATOMIC_SPECIES
Al 26.98 Al.upf
Cd 112.41 Cd.upf
Se 78.96 Se.upf
CELL_PARAMETERS angstrom
5.0490 0.0000 0.0000
0.0000 5.0490 0.0000
0.0000 0.0000 5.0490
ATOMIC_POSITIONS crystal
Al 0.0000 0.0000 0.5000
Al 0.0000 0.5000 0.0000
Al 0.5000 0.0000 0.0000
Cd 0.0000 0.0000 0.0000
Se 0.5000 0.5000 0.5000
```

Entry 2:
MnOs3Pt | PBE | relaxed Values from VASP.

## Properties
- calculated formation energy (meV per atom) = 1690
- energy above the lowest structure with this stoichiometry (meV per atom) = 0

Geometry as Quantum ESPRESSO input:
```
&SYSTEM
  ibrav = 0, nat = 5, ntyp = 3
/
ATOMIC_SPECIES
Mn 54.94 Mn.upf
Os 190.23 Os.upf
Pt 195.08 Pt.upf
CELL_PARAMETERS angstrom
4.3772 0.0000 0.0000
0.0000 4.3772 0.0000
0.0000 0.0000 4.3772
ATOMIC_POSITIONS crystal
Mn 0.0000 0.0000 0.0000
Os 0.0000 0.0000 0.5000
Os 0.0000 0.5000 0.0000
Os 0.5000 0.0000 0.0000
Pt 0.5000 0.5000 0.5000
```

- Number 1 is which compound?
  Al3CdSe